1.
A geometry-optimized LaTb6Nd3Er2 structure, computed with GGA-PBE.

The calculation puts the calculated volume at 395.6 Å³ per cell. As for the density of states at the Fermi level: 15.9 states/eV/f.u. The space group is C2/m. The energy is -4.66 eV per atom.

a b c (Å): 6.2346 6.2346 11.9304
angles (deg): 94.98 94.98 119.98
With the nearest neighbours (Å) after each atom.
Positions (direct):
La 0.0000 0.0000 0.0000  6 Tb 3.59, 6 Er 3.60
Er 0.6667 0.3333 0.0000  6 Tb 3.58, 3 La 3.60, 3 Er 3.60
Er 0.3333 0.6667 0.0000  6 Tb 3.58, 3 La 3.60, 3 Er 3.60
Tb 0.9168 0.5821 0.7518  2 Er 3.58, 1 La 3.59, 6 Tb 3.59-3.62, 3 Nd 3.61-3.62
Tb 0.7483 0.7483 0.2484  2 Er 3.58, 1 La 3.59, 6 Tb 3.59-3.62, 3 Nd 3.61-3.62
Tb 0.0832 0.4179 0.2482  2 Er 3.58, 1 La 3.59, 6 Tb 3.59-3.62, 3 Nd 3.61-3.62
Tb 0.5821 0.9168 0.7518  2 Er 3.58, 1 La 3.59, 6 Tb 3.59-3.62, 3 Nd 3.61-3.62
Tb 0.2517 0.2517 0.7516  2 Er 3.58, 1 La 3.59, 6 Tb 3.59-3.62, 3 Nd 3.61-3.62
Tb 0.4179 0.0832 0.2482  2 Er 3.58, 1 La 3.59, 6 Tb 3.59-3.62, 3 Nd 3.61-3.62
Nd 0.1671 0.8329 0.5000  6 Nd 3.60-3.61, 6 Tb 3.61-3.62
Nd 0.5000 0.5000 0.5000  6 Nd 3.60, 6 Tb 3.61-3.62
Nd 0.8329 0.1671 0.5000  6 Nd 3.60-3.61, 6 Tb 3.61-3.62


2.
A geometry-optimized GdThAgBi structure, computed with GGA-PBE.

The calculation puts the calculated volume at 112.7 Å³ per cell. As for the density of states at the Fermi level: 5.9 states/eV/f.u. The space group is F-43m. The energy is -7.37 eV per atom.

a b c (Å): 5.4217 5.4217 5.4217
angles (deg): 60.00 60.00 60.00
With the nearest neighbours (Å) after each atom.
Positions (direct):
Gd 0.5000 0.5000 0.5000  4 Ag 3.32, 4 Bi 3.32
Bi 0.7500 0.7500 0.7500  4 Gd 3.32, 4 Th 3.32
Ag 0.2500 0.2500 0.2500  4 Th 3.32, 4 Gd 3.32
Th 0.0000 0.0000 0.0000  4 Bi 3.32, 4 Ag 3.32


3.
A geometry-optimized HoTc3C2 structure, computed with GGA-PBE.

The calculation puts the calculated volume at 166.1 Å³ per cell. As for the density of states at the Fermi level: 2.5 states/eV/f.u. The space group is C2/m. The energy is -9.06 eV per atom.

a b c (Å): 3.6913 6.6076 7.9456
angles (deg): 115.68 90.00 106.22
With the nearest neighbours (Å) after each atom.
Positions (direct):
Tc 0.3838 0.7675 0.3244  3 C 2.07-2.18
Tc 0.0575 0.1150 0.3843  2 C 2.07
Tc 0.6162 0.2325 0.6756  3 C 2.07-2.18
Tc 0.9425 0.8850 0.6157  2 C 2.07
Tc 0.7127 0.4255 0.3730  2 C 1.94-2.16
Tc 0.2873 0.5745 0.6270  2 C 1.94-2.16
Ho 0.8641 0.7283 0.9840  3 C 2.37-2.59
Ho 0.1359 0.2717 0.0160  3 C 2.37-2.59
C 0.7864 0.5729 0.2052  1 Tc 1.94
C 0.4780 0.9561 0.7466  4 Tc 2.07-2.16
C 0.5220 0.0439 0.2534  4 Tc 2.07-2.16
C 0.2136 0.4271 0.7948  1 Tc 1.94


4.
A geometry-optimized Y5Zn structure, computed with GGA-PBE.

The calculation puts the calculated volume at 177.4 Å³ per cell. The energy above the most stable polymorph in this dataset comes out at 0.04 eV per formula unit. As for the density of states at the Fermi level: 8.3 states/eV/f.u. The space group is Cm.

a b c (Å): 3.6716 6.4077 8.5367
angles (deg): 68.21 90.00 106.65
With the nearest neighbours (Å) after each atom.
Positions (direct):
Zn 0.6949 0.3897 0.1104  8 Y 3.03-3.16
Y 0.3324 0.6648 0.2485  2 Zn 3.03, 2 Y 3.38
Y 0.3633 0.7265 0.8159  2 Zn 3.15, 1 Y 3.48
Y 0.6943 0.3885 0.6115  12 Y 3.43-3.76
Y 0.0257 0.0514 0.4061  2 Zn 3.16, 1 Y 3.47
Y 0.0562 0.1123 0.9743  2 Zn 3.03, 2 Y 3.38


5.
A geometry-optimized Ba4NaCa3 structure, computed with GGA-PBE.

The calculation puts the calculated volume at 421.4 Å³ per cell. As for the density of states at the Fermi level: 13.2 states/eV/f.u. The space group is Pmmm. The energy is -1.85 eV per atom.

a b c (Å): 4.6501 6.7265 13.4721
angles (deg): 90.00 90.00 90.00
With the nearest neighbours (Å) after each atom.
Positions (direct):
Ba 0.0000 0.0000 0.0000  4 Na 4.09, 4 Ca 4.18
Ba 0.0000 0.5000 0.7543  2 Na 4.05, 6 Ca 4.09-4.14
Ba 0.0000 0.0000 0.5000  8 Ca 4.01-4.09
Ba 0.0000 0.5000 0.2457  2 Na 4.05, 6 Ca 4.09-4.14
Ca 0.5000 0.5000 0.5000  8 Ba 4.09-4.14
Ca 0.5000 0.0000 0.7424  8 Ba 4.01-4.18
Ca 0.5000 0.0000 0.2576  8 Ba 4.01-4.18
Na 0.5000 0.5000 0.0000  8 Ba 4.05-4.09


6.
A geometry-optimized Ac2SmPt structure, computed with GGA-PBE.

The calculation puts the calculated volume at 159.9 Å³ per cell. The energy above the most stable polymorph in this dataset comes out at 0.94 eV per formula unit. As for the density of states at the Fermi level: 6.1 states/eV/f.u. The space group is R-3m.

a b c (Å): 4.0854 4.0854 11.3094
angles (deg): 79.59 79.59 60.00
With the nearest neighbours (Å) after each atom.
Positions (direct):
Sm 0.0000 0.0000 0.0000  2 Ac 3.68, 6 Sm 4.09
Ac 0.8890 0.8890 0.3331  3 Pt 3.00
Ac 0.1110 0.1110 0.6669  3 Pt 3.00
Pt 0.5000 0.5000 0.5000  6 Ac 3.00


7.
A geometry-optimized La4ZnMo structure, computed with GGA-PBE.

The calculation puts the calculated volume at 179.7 Å³ per cell. As for the density of states at the Fermi level: 11.8 states/eV/f.u. The space group is F-43m. The energy is -4.45 eV per atom.

a b c (Å): 6.3345 6.3345 6.3345
angles (deg): 60.00 60.00 60.00
With the nearest neighbours (Å) after each atom.
Positions (direct):
La 0.3760 0.8719 0.3760  6 La 3.14-3.19
La 0.8719 0.3760 0.3760  6 La 3.14-3.19
La 0.3760 0.3760 0.8719  6 La 3.14-3.19
La 0.3760 0.3760 0.3760  6 La 3.14-3.19
Mo 0.7500 0.7500 0.7500  12 La 3.71, 4 Zn 3.88
Zn 0.0000 0.0000 0.0000  12 La 3.72, 4 Mo 3.88


8.
A geometry-optimized NiSn3H structure, computed with GGA-PBE.

The calculation puts the calculated volume at 120.1 Å³ per cell. The energy above the most stable polymorph in this dataset comes out at 0.07 eV per formula unit. As for the density of states at the Fermi level: 2.8 states/eV/f.u. The space group is Pm-3m.

a b c (Å): 4.9334 4.9334 4.9334
angles (deg): 90.00 90.00 90.00
With the nearest neighbours (Å) after each atom.
Positions (direct):
Ni 0.0000 0.0000 0.0000  6 Sn 2.47
H 0.5000 0.5000 0.5000  12 Sn 3.49
Sn 0.0000 0.5000 0.0000  2 Ni 2.47
Sn 0.5000 0.0000 0.0000  2 Ni 2.47
Sn 0.0000 0.0000 0.5000  2 Ni 2.47